Material: Cs12KAu7
Method: DFT, PBE
State: optimized geometry

**Calculated density**: 4.39 Mg/m³
**ΔE to the lowest computed polymorph**: 0.009 eV per atom
**N(E_F)**: 10.513 states/eV/f.u.

Cell: 13.5290 13.5290 13.5290 Å, 116.71 116.71 116.71°
Element x y z (fractional)
1 Cs 0.0592 0.3422 0.1366
2 Cs 0.1366 0.0592 0.3422
3 Cs 0.2126 0.7373 0.5963
4 Cs 0.2627 0.4037 0.7874
5 Cs 0.3422 0.1366 0.0592
6 Cs 0.4037 0.7874 0.2627
7 Cs 0.5963 0.2126 0.7373
8 Cs 0.6578 0.8634 0.9408
9 Cs 0.7373 0.5963 0.2126
10 Cs 0.7874 0.2627 0.4037
11 Cs 0.8634 0.9408 0.6578
12 Cs 0.9408 0.6578 0.8634
13 K 0.5000 0.5000 0.5000
14 Au 0.0000 0.0000 0.0000
15 Au 0.1395 0.3739 0.4546
16 Au 0.3739 0.4546 0.1395
17 Au 0.4546 0.1395 0.3739
18 Au 0.5454 0.8605 0.6261
19 Au 0.6261 0.5454 0.8605
20 Au 0.8605 0.6261 0.5454